The following is a SCAN calculation of TiZnCo2Mo at its PBEsol-relaxed geometry, from the Alexandria database.

Cell: 4.1739 4.1739 4.5635 Å, 90.00 90.00 90.00°
Last column: magnetic moment on the atom in μB.
Sites, in units of the cell vectors:
Ti  0.5000  0.5000  0.5000  -0.53
Co  0.0000  0.5000  0.0000  1.83
Co  0.5000  0.0000  0.0000  1.83
Zn  0.0000  0.0000  0.0000  0.00
Mo  0.0000  0.0000  0.5000  0.63

Calculated values
Spin magnetization   0.729 μB per atom
Final energy   -18.7503 eV per atom
Formation enthalpy at 0 K   5.29 eV per formula unit
D(E_F)   3.19 states/eV/cell